# 1
First-principles (PBE-GGA) data for a geometry-optimized Cs2VBSe4 structure, as listed in Alexandria via LeMat-Bulk.

a b c (Å): 6.018 7.698 13.131
angles (deg): 84.86 76.75 66.99
Sites, in units of the cell vectors:
Se1 0.326 0.835 0.094
Se2 0.581 0.165 0.094
Cs1 0.573 0.500 0.854
V1 0.000 0.000 0.000
Cs2 0.177 0.000 0.646
B1 0.500 0.000 0.000
Se3 0.496 0.335 0.594
Se4 0.424 0.665 0.406
Se5 0.254 0.165 0.906
B2 0.250 0.500 0.500
Se6 0.840 0.835 0.906
V2 0.750 0.500 0.500
Cs3 0.927 0.500 0.146
Se7 0.169 0.335 0.406
Se8 0.910 0.665 0.594
Cs4 0.823 0.000 0.354

**SG**: Fddd
**M_tot**: 4.00 μB per cell
**N(E_F)**: 7.8 states/eV/cell
**Mass density**: 3.92 g cm⁻³
**Raw formation energy**: -743 meV/atom

# 2
First-principles (PBE-GGA) data for a geometry-optimized V2Ni2Pd structure, as listed in Alexandria via LeMat-Bulk.

a b c (Å): 2.587 4.162 11.876
angles (deg): 90.08 90.00 90.00
Sites, in units of the cell vectors:
Pd1 0.750 0.252 0.745
Ni1 0.250 0.250 0.537
V1 0.750 0.249 0.354
V2 0.750 0.748 0.050
Pd2 0.250 0.748 0.255
V3 0.250 0.252 0.950
Ni2 0.750 0.248 0.149
Ni3 0.750 0.750 0.463
Ni4 0.250 0.752 0.851
V4 0.250 0.751 0.646

**DFT formation energy**: -0.10 eV per atom
**SG**: P2_1/m
**M_tot**: 0.42 μB per cell
**N(E_F)**: 11.1 states/eV/cell
**Mass density**: 8.46 g cm⁻³
**Energy above the most stable polymorph in this dataset**: 48 meV/atom

# 3
First-principles (PBE-GGA) data for a geometry-optimized CaPdSe structure, as listed in Alexandria via LeMat-Bulk.

a b c (Å): 4.867 4.867 9.572
angles (deg): 90.00 90.00 120.00
Sites, in units of the cell vectors:
Se1 0.000 0.000 0.750
Pd1 0.000 0.000 0.000
Ca1 0.333 0.667 0.250
Pd2 0.000 0.000 0.500
Se2 0.000 0.000 0.250
Ca2 0.667 0.333 0.750

**SG**: P6_3/mmc
**M_tot**: 0.00 μB per cell
**N(E_F)**: 0.0 states/eV/cell
**Mass density**: 3.81 g cm⁻³
**Energy above the most stable polymorph in this dataset**: 338 meV/atom
**Raw formation energy**: -824 meV/atom

# 4
First-principles (PBE-GGA) data for a geometry-optimized Ba2BePPd6 structure, as listed in Alexandria via LeMat-Bulk.

a b c (Å): 6.532 6.719 6.729
angles (deg): 57.94 61.00 90.00
Sites, in units of the cell vectors:
Ba1 0.215 0.784 0.569
Pd1 0.331 0.250 0.920
Pd2 0.749 0.251 0.920
Pd3 0.251 0.330 0.498
Pd4 0.749 0.670 0.502
Ba2 0.785 0.216 0.431
P1 0.000 0.000 0.000
Pd5 0.669 0.750 0.080
Pd6 0.251 0.749 0.080
Be1 0.500 0.500 0.000

**DFT formation energy**: -0.58 eV per atom
**SG**: C2/m
**M_tot**: 0.00 μB per cell
**N(E_F)**: 8.6 states/eV/cell
**Mass density**: 7.71 g cm⁻³

# 5
First-principles (PBE-GGA) data for a geometry-optimized Hg2MoPb structure, as listed in Alexandria via LeMat-Bulk.

a b c (Å): 11.430 11.430 11.430
angles (deg): 15.57 15.57 15.57
Sites, in units of the cell vectors:
Pb1 0.762 0.762 0.762
Mo1 0.503 0.503 0.503
Hg1 0.995 0.995 0.995
Hg2 0.240 0.240 0.240

**DFT formation energy**: 0.53 eV per atom
**SG**: R3m
**M_tot**: 0.00 μB per cell
**N(E_F)**: 2.5 states/eV/cell
**Mass density**: 12.47 g cm⁻³

# 6
First-principles (PBE-GGA) data for a geometry-optimized Mg2InW structure, as listed in Alexandria via LeMat-Bulk.

a b c (Å): 5.355 5.355 5.355
angles (deg): 135.17 135.17 65.26
Sites, in units of the cell vectors:
Mg1 0.250 0.750 0.500
W1 0.500 0.500 0.000
In1 0.750 0.250 0.500
Mg2 0.000 0.000 0.000

**DFT formation energy**: 0.44 eV per atom
**SG**: I-4m2
**M_tot**: 0.60 μB per cell
**N(E_F)**: 4.0 states/eV/cell
**Mass density**: 7.67 g cm⁻³

# 7
First-principles (PBE-GGA) data for a geometry-optimized Ho5TlSb4 structure, as listed in Alexandria via LeMat-Bulk.

a b c (Å): 6.166 7.576 7.576
angles (deg): 80.47 65.99 65.99
Sites, in units of the cell vectors:
Ho1 0.105 0.588 0.204
Ho2 0.501 0.000 0.000
Ho3 0.309 0.796 0.588
Sb1 0.800 0.802 0.600
Tl1 0.001 0.000 0.000
Ho4 0.897 0.412 0.796
Sb2 0.400 0.400 0.802
Sb3 0.202 0.198 0.400
Ho5 0.693 0.204 0.412
Sb4 0.602 0.600 0.198

**SG**: I4/m
**M_tot**: 0.00 μB per cell
**N(E_F)**: 5.7 states/eV/cell
**Mass density**: 8.53 g cm⁻³
**Raw formation energy**: -879 meV/atom

# 8
First-principles (PBE-GGA) data for a geometry-optimized Li2GaAsS4 structure, as listed in Alexandria via LeMat-Bulk.

a b c (Å): 5.927 6.593 8.777
angles (deg): 90.00 90.00 90.00
Sites, in units of the cell vectors:
S1 0.399 0.692 0.723
Ga1 0.491 0.844 0.500
As1 0.980 0.196 0.500
S2 0.872 0.819 0.000
Li1 0.485 0.325 0.248
Li2 0.485 0.325 0.752
S3 0.399 0.692 0.277
As2 0.480 0.804 0.000
S4 0.890 0.858 0.500
S5 0.899 0.308 0.777
Li3 0.985 0.675 0.748
S6 0.390 0.142 0.000
S7 0.899 0.308 0.223
Li4 0.985 0.675 0.252
Ga2 0.991 0.156 0.000
S8 0.372 0.181 0.500

**SG**: Pmn2_1
**M_tot**: 0.00 μB per cell
**N(E_F)**: 0.0 states/eV/cell
**Mass density**: 2.78 g cm⁻³
**Raw formation energy**: -750 meV/atom

# 9
First-principles (PBE-GGA) data for a geometry-optimized PtAuCl5 structure, as listed in Alexandria via LeMat-Bulk.

a b c (Å): 7.807 7.872 9.558
angles (deg): 106.28 111.72 108.74
Sites, in units of the cell vectors:
Cl1 0.282 0.644 0.385
Cl2 0.585 0.051 0.788
Au1 0.500 0.000 0.500
Au2 0.500 0.000 0.000
Cl3 0.412 0.529 0.831
Cl4 0.862 0.231 0.206
Cl5 0.415 0.949 0.212
Pt1 0.931 0.561 0.274
Cl6 0.990 0.115 0.660
Cl7 0.588 0.471 0.169
Cl8 0.138 0.769 0.794
Cl9 0.010 0.885 0.340
Cl10 0.718 0.356 0.615
Pt2 0.069 0.439 0.726

**SG**: P-1
**M_tot**: 1.60 μB per cell
**N(E_F)**: 7.3 states/eV/cell
**Mass density**: 4.11 g cm⁻³
**Raw formation energy**: -260 meV/atom

# 10
First-principles (PBE-GGA) data for a geometry-optimized Ca2MgVSn structure, as listed in Alexandria via LeMat-Bulk.

a b c (Å): 5.726 5.170 5.726
angles (deg): 90.00 90.00 90.00
Sites, in units of the cell vectors:
Mg1 0.500 0.500 0.500
Sn1 0.000 0.500 0.000
Ca1 0.000 0.000 0.500
V1 0.000 0.000 0.000
Ca2 0.500 0.000 0.000

**DFT formation energy**: 0.40 eV per atom
**SG**: P4/mmm
**M_tot**: 4.18 μB per cell
**N(E_F)**: 2.7 states/eV/cell
**Mass density**: 2.69 g cm⁻³

# 11
First-principles (PBE-GGA) data for a geometry-optimized Y2ZnPt7 structure, as listed in Alexandria via LeMat-Bulk.

a b c (Å): 6.759 6.759 6.759
angles (deg): 60.00 60.00 60.00
Sites, in units of the cell vectors:
Pt1 0.500 0.500 0.500
Pt2 0.759 0.241 0.241
Pt3 0.759 0.759 0.241
Pt4 0.759 0.241 0.759
Zn1 0.000 0.000 0.000
Y1 0.750 0.750 0.750
Y2 0.250 0.250 0.250
Pt5 0.241 0.759 0.241
Pt6 0.241 0.241 0.759
Pt7 0.241 0.759 0.759

**DFT formation energy**: 0.04 eV per atom
**SG**: Fm-3m
**M_tot**: 0.00 μB per cell
**N(E_F)**: 14.2 states/eV/cell
**Mass density**: 12.24 g cm⁻³

# 12
First-principles (PBE-GGA) data for a geometry-optimized Mg2AlHg4 structure, as listed in Alexandria via LeMat-Bulk.

a b c (Å): 5.938 5.938 5.938
angles (deg): 109.85 109.28 109.28
Sites, in units of the cell vectors:
Mg1 0.500 0.500 0.000
Hg1 0.500 0.500 0.500
Hg2 0.000 0.500 0.000
Hg3 0.000 0.000 0.500
Hg4 0.500 0.000 0.000
Mg2 0.500 0.000 0.500
Al1 0.000 0.000 0.000

**DFT formation energy**: -0.07 eV per atom
**SG**: I4/mmm
**M_tot**: 0.00 μB per cell
**N(E_F)**: 2.3 states/eV/cell
**Mass density**: 9.04 g cm⁻³

# 13
First-principles (PBE-GGA) data for a geometry-optimized Mg2Ag structure, as listed in Alexandria via LeMat-Bulk.

a b c (Å): 8.824 8.824 8.824
angles (deg): 60.00 60.00 60.00
Sites, in units of the cell vectors:
Mg1 0.684 0.566 0.066
Mg2 0.500 0.500 0.500
Ag1 0.285 0.785 0.285
Mg3 0.066 0.566 0.684
Ag2 0.285 0.785 0.646
Mg4 0.066 0.184 0.066
Ag3 0.285 0.146 0.285
Mg5 0.934 0.434 0.316
Mg6 0.684 0.566 0.684
Mg7 0.316 0.434 0.934
Mg8 0.934 0.816 0.934
Mg9 0.000 0.000 0.500
Mg10 0.316 0.816 0.934
Mg11 0.316 0.434 0.316
Ag4 0.646 0.785 0.285
Ag5 0.354 0.215 0.715
Mg12 0.066 0.184 0.684
Ag6 0.715 0.215 0.715
Mg13 0.500 0.000 0.000
Mg14 0.500 0.000 0.500
Mg15 0.684 0.184 0.066
Mg16 0.934 0.816 0.316
Ag7 0.715 0.854 0.715
Ag8 0.715 0.215 0.354

**DFT formation energy**: -0.19 eV per atom
**SG**: Fd-3m
**M_tot**: 0.00 μB per cell
**N(E_F)**: 2.3 states/eV/cell
**Mass density**: 4.28 g cm⁻³

# 14
First-principles (PBE-GGA) data for a geometry-optimized LiTbYBe structure, as listed in Alexandria via LeMat-Bulk.

a b c (Å): 5.002 5.002 5.002
angles (deg): 60.00 60.00 60.00
Sites, in units of the cell vectors:
Tb1 0.000 0.000 0.000
Be1 0.750 0.750 0.750
Y1 0.500 0.500 0.500
Li1 0.250 0.250 0.250

**DFT formation energy**: 0.13 eV per atom
**SG**: F-43m
**M_tot**: 0.00 μB per cell
**N(E_F)**: 4.8 states/eV/cell
**Mass density**: 4.95 g cm⁻³

# 15
First-principles (PBE-GGA) data for a geometry-optimized Y4Hg3 structure, as listed in Alexandria via LeMat-Bulk.

a b c (Å): 13.331 13.331 13.331
angles (deg): 163.43 163.43 23.51
Sites, in units of the cell vectors:
Y1 0.570 0.570 0.000
Y2 0.430 0.430 0.000
Hg1 0.284 0.284 0.000
Hg2 0.000 0.000 0.000
Y3 0.157 0.157 0.000
Hg3 0.716 0.716 0.000
Y4 0.843 0.843 0.000

**DFT formation energy**: -0.31 eV per atom
**SG**: I4/mmm
**M_tot**: 2.03 μB per cell
**N(E_F)**: 7.6 states/eV/cell
**Mass density**: 8.26 g cm⁻³
**Energy above the most stable polymorph in this dataset**: 31 meV/atom

# 16
First-principles (PBE-GGA) data for a geometry-optimized NdZrZnRu structure, as listed in Alexandria via LeMat-Bulk.

a b c (Å): 4.888 4.888 4.888
angles (deg): 60.00 60.00 60.00
Sites, in units of the cell vectors:
Zr1 0.000 0.000 0.000
Ru1 0.750 0.750 0.750
Zn1 0.250 0.250 0.250
Nd1 0.500 0.500 0.500

**DFT formation energy**: -0.19 eV per atom
**SG**: F-43m
**M_tot**: 0.00 μB per cell
**N(E_F)**: 3.7 states/eV/cell
**Mass density**: 8.08 g cm⁻³

# 17
First-principles (PBE-GGA) data for a geometry-optimized Sm6ErTm12 structure, as listed in Alexandria via LeMat-Bulk.

a b c (Å): 8.569 8.569 8.569
angles (deg): 79.65 79.65 79.65
Sites, in units of the cell vectors:
Tm1 0.514 0.863 0.863
Tm2 0.863 0.514 0.863
Tm3 0.486 0.137 0.137
Sm1 0.767 0.767 0.163
Tm4 0.487 0.805 0.487
Tm5 0.513 0.513 0.195
Sm2 0.767 0.163 0.767
Er1 0.000 0.000 0.000
Tm6 0.805 0.487 0.487
Sm3 0.837 0.233 0.233
Tm7 0.863 0.863 0.514
Sm4 0.233 0.837 0.233
Sm5 0.233 0.233 0.837
Tm8 0.513 0.195 0.513
Sm6 0.163 0.767 0.767
Tm9 0.195 0.513 0.513
Tm10 0.487 0.487 0.805
Tm11 0.137 0.486 0.137
Tm12 0.137 0.137 0.486

**DFT formation energy**: 0.13 eV per atom
**SG**: R-3m
**M_tot**: 0.00 μB per cell
**N(E_F)**: 28.0 states/eV/cell
**Mass density**: 8.55 g cm⁻³
**Energy above the most stable polymorph in this dataset**: 0 meV/atom

# 18
First-principles (PBE-GGA) data for a geometry-optimized LaSiNi structure, as listed in Alexandria via LeMat-Bulk.

a b c (Å): 4.592 4.592 4.592
angles (deg): 60.00 60.00 60.00
Sites, in units of the cell vectors:
Si1 0.750 0.750 0.750
Ni1 0.500 0.500 0.500
La1 0.000 0.000 0.000

**SG**: F-43m
**M_tot**: 0.78 μB per cell
**N(E_F)**: 4.9 states/eV/cell
**Mass density**: 5.47 g cm⁻³
**Raw formation energy**: -92 meV/atom

# 19
First-principles (PBE-GGA) data for a geometry-optimized Tb6Ho3Tm2 structure, as listed in Alexandria via LeMat-Bulk.

a b c (Å): 4.695 4.695 16.818
angles (deg): 98.02 98.02 90.00
Sites, in units of the cell vectors:
Tb1 0.697 0.697 0.394
Tm1 0.454 0.454 0.908
Ho1 0.000 0.000 0.000
Tb2 0.621 0.121 0.241
Tb3 0.379 0.879 0.759
Tb4 0.121 0.621 0.241
Tb5 0.879 0.379 0.759
Tm2 0.546 0.546 0.092
Ho2 0.801 0.801 0.601
Ho3 0.199 0.199 0.399
Tb6 0.303 0.303 0.606

**DFT formation energy**: 0.30 eV per atom
**SG**: I4/mmm
**M_tot**: 0.00 μB per cell
**N(E_F)**: 16.4 states/eV/cell
**Mass density**: 8.16 g cm⁻³
**Energy above the most stable polymorph in this dataset**: 276 meV/atom

# 20
First-principles (PBE-GGA) data for a geometry-optimized Ce2PtRh2 structure, as listed in Alexandria via LeMat-Bulk.

a b c (Å): 4.149 5.414 5.414
angles (deg): 73.41 67.47 67.47
Sites, in units of the cell vectors:
Rh1 0.500 0.707 0.293
Pt1 0.000 0.000 0.000
Ce1 0.780 0.720 0.720
Rh2 0.500 0.293 0.707
Ce2 0.220 0.280 0.280

**DFT formation energy**: -0.81 eV per atom
**SG**: Immm
**M_tot**: 0.00 μB per cell
**N(E_F)**: 7.3 states/eV/cell
**Mass density**: 11.05 g cm⁻³

# 21
First-principles (PBE-GGA) data for a geometry-optimized Cs6SI2Cl2 structure, as listed in Alexandria via LeMat-Bulk.

a b c (Å): 8.901 8.901 9.482
angles (deg): 99.33 99.33 119.19
Sites, in units of the cell vectors:
Cs1 0.946 0.613 0.295
Cs2 0.613 0.946 0.295
Cl1 0.662 0.338 0.500
S1 0.000 0.000 0.500
Cs3 0.054 0.387 0.705
Cs4 0.235 0.235 0.292
Cl2 0.338 0.662 0.500
Cs5 0.765 0.765 0.708
I1 0.827 0.173 0.000
Cs6 0.387 0.054 0.705
I2 0.173 0.827 0.000

**SG**: C2/m
**M_tot**: 0.20 μB per cell
**N(E_F)**: 0.0 states/eV/cell
**Mass density**: 3.08 g cm⁻³
**Raw formation energy**: -1533 meV/atom

# 22
First-principles (PBE-GGA) data for a geometry-optimized SbPtN structure, as listed in Alexandria via LeMat-Bulk.

a b c (Å): 3.850 3.850 11.726
angles (deg): 94.66 94.66 90.00
Sites, in units of the cell vectors:
Pt1 0.780 0.780 0.121
N1 0.580 0.580 0.534
Sb1 0.723 0.723 0.890
Pt2 0.220 0.220 0.879
Sb2 0.277 0.277 0.110
N2 0.420 0.420 0.466

**SG**: C2/m
**M_tot**: 0.00 μB per cell
**N(E_F)**: 2.9 states/eV/cell
**Mass density**: 6.37 g cm⁻³
**Energy above the most stable polymorph in this dataset**: 92 meV/atom
**Raw formation energy**: -65 meV/atom

# 23
First-principles (PBE-GGA) data for a geometry-optimized NdScPd2 structure, as listed in Alexandria via LeMat-Bulk.

a b c (Å): 3.379 3.379 7.266
angles (deg): 90.00 90.00 90.00
Sites, in units of the cell vectors:
Sc1 0.500 0.500 0.000
Pd1 0.000 0.000 0.788
Pd2 0.000 0.000 0.212
Nd1 0.500 0.500 0.500

**DFT formation energy**: -0.80 eV per atom
**SG**: P4/mmm
**M_tot**: 0.00 μB per cell
**N(E_F)**: 3.6 states/eV/cell
**Mass density**: 8.05 g cm⁻³
**Energy above the most stable polymorph in this dataset**: 0 meV/atom